## Be2NiMo (PBE)

Data for Be2NiMo after structural relaxation.

The calculation puts the total magnetic moment at 0.124 μB/atom. The total energy comes out at -5.87 eV per atom.

The space group is F-43m (No. 216) and the conventional cell measures 5.6144, 5.6144 and 5.6144 Å, with angles of 90.00, 90.00 and 90.00 degrees. The distinct sites, in fractional coordinates, are Be at (0.0000, 0.0000, 0.0000), Be at (0.2500, 0.2500, 0.2500), Ni at (0.0000, 0.0000, 0.5000) and Mo at (0.2500, 0.2500, 0.7500).